Compound: La2NdHo5Th
Source: the Alexandria database
Functional: PBE
Structure: optimized geometry

Total moment in μB/cell: 0.001

CIF file:
```
data_La2NdHo5Th
_chemical_formula_sum 'La4 Nd2 Ho10 Th2'
_symmetry_space_group_name_H-M 'P 1'
_symmetry_Int_Tables_number 1
_symmetry_space_group_name_Hall 'P 1'
_cell_length_a 5.671
_cell_length_b 10.408
_cell_length_c 10.673
_cell_angle_alpha 90.00
_cell_angle_beta 90.00
_cell_angle_gamma 105.81
loop_
_atom_site_label
_atom_site_type_symbol
_atom_site_fract_x
_atom_site_fract_y
_atom_site_fract_z
La1 La 0.883 0.767 0.820
La2 La 0.116 0.233 0.729
La3 La 0.117 0.233 0.320
La4 La 0.884 0.767 0.229
Nd1 Nd 0.586 0.171 0.955
Nd2 Nd 0.414 0.829 0.455
Ho1 Ho 0.391 0.782 0.024
Ho2 Ho 0.720 0.440 0.811
Ho3 Ho 0.479 0.958 0.738
Ho4 Ho 0.298 0.597 0.709
Ho5 Ho 0.983 0.966 0.527
Ho6 Ho 0.609 0.218 0.524
Ho7 Ho 0.280 0.560 0.311
Ho8 Ho 0.521 0.042 0.238
Ho9 Ho 0.702 0.403 0.209
Ho10 Ho 0.017 0.034 0.027
Th1 Th 0.797 0.593 0.511
Th2 Th 0.203 0.407 0.011
```


Compound: LaNdHoTh
Source: the Alexandria database
Functional: PBE
Structure: optimized geometry

Total moment in μB/cell: 0.024
Polymorph energy (0 for the lowest one) in meV per atom: 184

CIF file:
```
data_LaNdHoTh
_chemical_formula_sum 'La1 Nd1 Ho1 Th1'
_symmetry_space_group_name_H-M 'P 1'
_symmetry_Int_Tables_number 1
_symmetry_space_group_name_Hall 'P 1'
_cell_length_a 5.773
_cell_length_b 5.773
_cell_length_c 5.773
_cell_angle_alpha 60.00
_cell_angle_beta 60.00
_cell_angle_gamma 60.00
loop_
_atom_site_label
_atom_site_type_symbol
_atom_site_fract_x
_atom_site_fract_y
_atom_site_fract_z
Nd1 Nd 0.750 0.750 0.750
Ho1 Ho 0.000 0.000 0.000
Th1 Th 0.500 0.500 0.500
La1 La 0.250 0.250 0.250
```


Compound: LaNd5Ho2Th
Source: the Alexandria database
Functional: PBE
Structure: optimized geometry

Total moment in μB/cell: 0.000

CIF file:
```
data_LaNd5Ho2Th
_chemical_formula_sum 'La2 Nd10 Ho4 Th2'
_symmetry_space_group_name_H-M 'P 1'
_symmetry_Int_Tables_number 1
_symmetry_space_group_name_Hall 'P 1'
_cell_length_a 5.745
_cell_length_b 10.587
_cell_length_c 10.650
_cell_angle_alpha 90.00
_cell_angle_beta 90.00
_cell_angle_gamma 105.74
loop_
_atom_site_label
_atom_site_type_symbol
_atom_site_fract_x
_atom_site_fract_y
_atom_site_fract_z
La1 La 0.586 0.172 0.946
La2 La 0.414 0.828 0.446
Nd1 Nd 0.386 0.771 0.027
Nd2 Nd 0.722 0.444 0.816
Nd3 Nd 0.478 0.955 0.740
Nd4 Nd 0.292 0.583 0.702
Nd5 Nd 0.984 0.969 0.525
Nd6 Nd 0.614 0.229 0.527
Nd7 Nd 0.278 0.556 0.316
Nd8 Nd 0.522 0.045 0.240
Nd9 Nd 0.708 0.417 0.202
Nd10 Nd 0.016 0.031 0.025
Ho1 Ho 0.884 0.768 0.818
Ho2 Ho 0.112 0.225 0.736
Ho3 Ho 0.116 0.232 0.318
Ho4 Ho 0.888 0.775 0.236
Th1 Th 0.801 0.602 0.513
Th2 Th 0.199 0.398 0.013
```


Compound: La2NdHoTl2
Source: the Alexandria database
Functional: PBE
Structure: optimized geometry

Total moment in μB/cell: 0.000

CIF file:
```
data_La2NdHoTl2
_chemical_formula_sum 'La4 Nd2 Ho2 Tl4'
_symmetry_space_group_name_H-M 'P 1'
_symmetry_Int_Tables_number 1
_symmetry_space_group_name_Hall 'P 1'
_cell_length_a 5.191
_cell_length_b 7.019
_cell_length_c 10.337
_cell_angle_alpha 90.00
_cell_angle_beta 90.00
_cell_angle_gamma 90.00
loop_
_atom_site_label
_atom_site_type_symbol
_atom_site_fract_x
_atom_site_fract_y
_atom_site_fract_z
La1 La 0.500 0.083 0.062
La2 La 0.000 0.314 0.175
La3 La 0.500 0.583 0.938
La4 La 0.000 0.814 0.825
Nd1 Nd 0.000 0.960 0.455
Nd2 Nd 0.000 0.460 0.545
Ho1 Ho 0.500 0.169 0.694
Ho2 Ho 0.500 0.669 0.306
Tl1 Tl 0.000 0.294 0.851
Tl2 Tl 0.500 0.225 0.386
Tl3 Tl 0.000 0.794 0.149
Tl4 Tl 0.500 0.725 0.614
```


Compound: LaNd2HoTl2
Source: the Alexandria database
Functional: PBE
Structure: optimized geometry

Total moment in μB/cell: 0.000

CIF file:
```
data_LaNd2HoTl2
_chemical_formula_sum 'La2 Nd4 Ho2 Tl4'
_symmetry_space_group_name_H-M 'P 1'
_symmetry_Int_Tables_number 1
_symmetry_space_group_name_Hall 'P 1'
_cell_length_a 5.254
_cell_length_b 6.967
_cell_length_c 10.296
_cell_angle_alpha 90.00
_cell_angle_beta 90.00
_cell_angle_gamma 90.00
loop_
_atom_site_label
_atom_site_type_symbol
_atom_site_fract_x
_atom_site_fract_y
_atom_site_fract_z
La1 La 0.000 0.958 0.455
La2 La 0.000 0.458 0.545
Nd1 Nd 0.500 0.055 0.047
Nd2 Nd 0.000 0.333 0.181
Nd3 Nd 0.500 0.555 0.953
Nd4 Nd 0.000 0.833 0.819
Ho1 Ho 0.500 0.178 0.692
Ho2 Ho 0.500 0.678 0.308
Tl1 Tl 0.000 0.297 0.859
Tl2 Tl 0.500 0.225 0.371
Tl3 Tl 0.000 0.797 0.141
Tl4 Tl 0.500 0.725 0.629
```


Compound: La2Nd7HoTl2
Source: the Alexandria database
Functional: PBE
Structure: optimized geometry

Total moment in μB/cell: 0.000

CIF file:
```
data_La2Nd7HoTl2
_chemical_formula_sum 'La2 Nd7 Ho1 Tl2'
_symmetry_space_group_name_H-M 'P 1'
_symmetry_Int_Tables_number 1
_symmetry_space_group_name_Hall 'P 1'
_cell_length_a 4.959
_cell_length_b 4.959
_cell_length_c 17.715
_cell_angle_alpha 73.40
_cell_angle_beta 73.44
_cell_angle_gamma 88.94
loop_
_atom_site_label
_atom_site_type_symbol
_atom_site_fract_x
_atom_site_fract_y
_atom_site_fract_z
La1 La 0.833 0.833 0.667
La2 La 0.167 0.167 0.333
Nd1 Nd 0.500 0.500 0.000
Nd2 Nd 0.277 0.277 0.500
Nd3 Nd 0.723 0.723 0.500
Nd4 Nd 0.835 0.335 0.165
Nd5 Nd 0.335 0.835 0.165
Nd6 Nd 0.665 0.165 0.835
Nd7 Nd 0.165 0.665 0.835
Ho1 Ho 0.000 0.000 0.000
Tl1 Tl 0.682 0.682 0.318
Tl2 Tl 0.318 0.318 0.682
```


Quick rundown of ΔH_f (0 K), same order as above: 0.16, 0.21, 0.16, -0.29, -0.27, -0.03 eV/atom